No. 1
The following is a DFT calculation (PBE) of TaAsIr2 after structural relaxation.

a = 2.9745 Å, b = 3.8351 Å, c = 5.5617 Å
α = 90.00°, β = 90.00°, γ = 90.00°
Closest atoms and distances in Å follow each position.
Space group Pmmm (No. 47)
Unique sites:
Ta 0.0000 0.0000 0.0000  2 As 2.78, 8 Ir 2.78, 2 Ta 2.97
As 0.0000 0.0000 0.5000  2 Ta 2.78, 8 Ir 2.81, 2 As 2.97
Ir 0.5000 0.5000 0.2444  4 Ir 2.72-2.97, 4 Ta 2.78, 4 As 2.81

Properties
V   15.861 Å³ per atom
Total energy   -8.8267 eV per atom
ΔH_f (0 K)   -270.7 meV per atom

---

No. 2
The following is a DFT calculation (PBE) of TaAsIr2 after structural relaxation.

a = 4.0338 Å, b = 2.8918 Å, c = 10.7779 Å
α = 90.00°, β = 90.00°, γ = 90.00°
Closest atoms and distances in Å follow each position.
Space group Amm2 (No. 38)
Unique sites:
Ta 0.0000 0.0000 0.0000  7 Ir 2.78-2.98, 4 As 2.79, 2 Ta 2.89
As 0.5000 0.0000 0.6173  3 Ir 2.42-2.55
Ir 0.0000 0.0000 0.7420  2 As 2.42
Ir 0.5000 0.0000 0.3803  1 As 2.55, 4 Ta 2.80

Properties
V   15.715 Å³ per atom
Total energy   -8.7884 eV per atom
ΔH_f (0 K)   -232.3 meV per atom

---

Copy entry 1 word for word.
The following is a DFT calculation (PBE) of TaAsIr2 after structural relaxation.

a = 2.9745 Å, b = 3.8351 Å, c = 5.5617 Å
α = 90.00°, β = 90.00°, γ = 90.00°
Closest atoms and distances in Å follow each position.
Space group Pmmm (No. 47)
Unique sites:
Ta 0.0000 0.0000 0.0000  2 As 2.78, 8 Ir 2.78, 2 Ta 2.97
As 0.0000 0.0000 0.5000  2 Ta 2.78, 8 Ir 2.81, 2 As 2.97
Ir 0.5000 0.5000 0.2444  4 Ir 2.72-2.97, 4 Ta 2.78, 4 As 2.81

Properties
V   15.861 Å³ per atom
Total energy   -8.8267 eV per atom
ΔH_f (0 K)   -270.7 meV per atom

---

> Among the records above, which one has the highest total energy?

number 2